PBE MgSe2N, optimized geometry; distance to the lowest polymorph of the same formula = 0.590 eV per atom; raw formation energy = 0.94 eV per atom; space-group type = Fm-3m
1.0
3.385 -0.471 3.142
0.018 2.655 3.808
-0.924 -1.878 4.144
Mg Se N
1 2 1
Direct
0.500 0.500 0.500
0.250 0.250 0.250
0.750 0.750 0.750
0.000 0.000 0.000